1.
First-principles (PBE) data for ErPF after structural relaxation, as listed in Alexandria.

a b c (Å): 3.8443 3.8443 4.1345
angles (deg): 90.00 90.00 120.00
Space group P-6m2 (No. 187)
Symmetry-distinct sites (fractional):
Er: 0.0000 0.0000 0.0000 x1
P: 0.6667 0.3333 0.5000 x1
F: 0.3333 0.6667 0.0000 x1

ρ (g/cm³): 6.8
E_tot (eV per cell): -17.99
Offset from the most stable computed form (kJ/mol of atoms): 33.4

2.
First-principles (PBE) data for ErPF after structural relaxation, as listed in Alexandria.

a b c (Å): 9.506 3.805 6.515
angles (deg): 90.00 111.38 90.00
Space group C2/m (No. 12)
Symmetry-distinct sites (fractional):
Er: 0.186 0.000 0.228 x4
P: 0.049 0.500 0.869 x4
F: 0.198 0.000 0.588 x4

ρ (g/cm³): 6.6
E_tot (eV per cell): -76.13
Offset from the most stable computed form (kJ/mol of atoms): 0.0